Arrangement 1

# PBE TaTi3S, relaxed
data_TaTi3S
_cell_length_a 4.8392
_cell_length_b 4.8392
_cell_length_c 4.8392
_cell_angle_alpha 90.00
_cell_angle_beta 90.00
_cell_angle_gamma 90.00
_space_group_name_H-M_alt 'P 1'
_space_group_IT_number 1
loop_
_space_group_symop_operation_xyz
'x,y,z'
loop_
_atom_site_label
_atom_site_fract_x
_atom_site_fract_y
_atom_site_fract_z
S1 0.5000 0.5000 0.5000
Ti1 0.0000 0.5000 0.0000
Ti2 0.0000 0.0000 0.5000
Ti3 0.5000 0.0000 0.0000
Ta1 0.0000 0.0000 0.0000
# space group: No. 221
# V: 22.7 Å³/atom

=====

Arrangement 2

# PBE TaTi3S, relaxed
data_TaTi3S
_cell_length_a 4.4626
_cell_length_b 4.4626
_cell_length_c 4.4626
_cell_angle_alpha 90.00
_cell_angle_beta 90.00
_cell_angle_gamma 90.00
_space_group_name_H-M_alt 'P 1'
_space_group_IT_number 1
loop_
_space_group_symop_operation_xyz
'x,y,z'
loop_
_atom_site_label
_atom_site_fract_x
_atom_site_fract_y
_atom_site_fract_z
S1 0.0000 0.0000 0.0000
Ti1 0.0000 0.5000 0.0000
Ti2 0.0000 0.0000 0.5000
Ti3 0.5000 0.0000 0.0000
Ta1 0.5000 0.5000 0.5000
# space group: No. 221
# V: 17.8 Å³/atom

=====

Arrangement 3

# PBE TaTi3S, relaxed
data_TaTi3S
_cell_length_a 3.0715
_cell_length_b 6.9380
_cell_length_c 7.7374
_cell_angle_alpha 100.97
_cell_angle_beta 90.00
_cell_angle_gamma 90.00
_space_group_name_H-M_alt 'P 1'
_space_group_IT_number 1
loop_
_space_group_symop_operation_xyz
'x,y,z'
loop_
_atom_site_label
_atom_site_fract_x
_atom_site_fract_y
_atom_site_fract_z
Ta1 0.7500 0.3223 0.4469
Ta2 0.2500 0.6777 0.5531
Ti1 0.7500 0.5186 0.1606
Ti2 0.2500 0.1502 0.1194
Ti3 0.7500 0.9300 0.3388
Ti4 0.2500 0.4814 0.8394
Ti5 0.2500 0.0700 0.6612
Ti6 0.7500 0.8498 0.8806
S1 0.2500 0.7770 0.1051
S2 0.7500 0.2230 0.8949
# space group: No. 11
# V: 16.2 Å³/atom

=====

Name the least stable of them. arrangement 1.